# 1
# Li2ScAl2CuPt2

A relaxed structure of Li2ScAl2CuPt2 (GGA-PBE, OQMD).

## Properties
Total DFT energy (no corrections) (eV/atom): -4.86

Unit cell a=4.0598 b=4.0598 c=7.0675 alpha=90.00 beta=90.00 gamma=90.00
Space group P-4m2 (No. 115)
Unique sites:
Li 0.0000 0.5000 0.2248 [2 per cell]
Sc 0.0000 0.0000 0.5000 [1 per cell]
Al 0.0000 0.5000 0.7832 [2 per cell]
Cu 0.5000 0.5000 0.0000 [1 per cell]
Pt 0.0000 0.0000 0.0000 [1 per cell]
Pt 0.5000 0.5000 0.5000 [1 per cell]

# 2
# Li2Al2Zn2CuPt

A relaxed structure of Li2Al2Zn2CuPt (GGA-PBE, OQMD).

## Properties
Total DFT energy (no corrections) (eV/atom): -3.41

Unit cell a=4.2568 b=4.2568 c=6.0280 alpha=90.00 beta=90.00 gamma=90.00
Space group P-4m2 (No. 115)
Unique sites:
Li 0.0000 0.0000 0.0000 [1 per cell]
Li 0.5000 0.5000 0.5000 [1 per cell]
Al 0.0000 0.5000 0.7479 [2 per cell]
Zn 0.0000 0.5000 0.2372 [2 per cell]
Cu 0.5000 0.5000 0.0000 [1 per cell]
Pt 0.0000 0.0000 0.5000 [1 per cell]

# 3
# Li2Zr2Al2CuPt

A relaxed structure of Li2Zr2Al2CuPt (GGA-PBE, OQMD).

## Properties
Total DFT energy (no corrections) (eV/atom): -5.31

Unit cell a=4.4576 b=4.4576 c=6.3120 alpha=90.00 beta=90.00 gamma=90.00
Space group P-4m2 (No. 115)
Unique sites:
Li 0.0000 0.0000 0.0000 [1 per cell]
Li 0.5000 0.5000 0.5000 [1 per cell]
Zr 0.0000 0.5000 0.7428 [2 per cell]
Al 0.0000 0.5000 0.2560 [2 per cell]
Cu 0.0000 0.0000 0.5000 [1 per cell]
Pt 0.5000 0.5000 0.0000 [1 per cell]

# 4
# LiZr2Al2CuPt2

A relaxed structure of LiZr2Al2CuPt2 (GGA-PBE, OQMD).

## Properties
Total DFT energy (no corrections) (eV/atom): -6.10

Unit cell a=4.5000 b=4.5000 c=6.3709 alpha=90.00 beta=90.00 gamma=90.00
Space group P-4m2 (No. 115)
Unique sites:
Li 0.0000 0.0000 0.0000 [1 per cell]
Zr 0.0000 0.5000 0.2503 [2 per cell]
Al 0.0000 0.5000 0.7470 [2 per cell]
Cu 0.5000 0.5000 0.5000 [1 per cell]
Pt 0.0000 0.0000 0.5000 [1 per cell]
Pt 0.5000 0.5000 0.0000 [1 per cell]

Q: Among the records above, which one has the highest total DFT energy (no corrections)?
A: Li2Al2Zn2CuPt

Copy entry 1 word for word.
# Li2ScAl2CuPt2

A relaxed structure of Li2ScAl2CuPt2 (GGA-PBE, OQMD).

## Properties
Total DFT energy (no corrections) (eV/atom): -4.86

Unit cell a=4.0598 b=4.0598 c=7.0675 alpha=90.00 beta=90.00 gamma=90.00
Space group P-4m2 (No. 115)
Unique sites:
Li 0.0000 0.5000 0.2248 [2 per cell]
Sc 0.0000 0.0000 0.5000 [1 per cell]
Al 0.0000 0.5000 0.7832 [2 per cell]
Cu 0.5000 0.5000 0.0000 [1 per cell]
Pt 0.0000 0.0000 0.0000 [1 per cell]
Pt 0.5000 0.5000 0.5000 [1 per cell]

Q: Look up the total DFT energy (no corrections) of the fourth one.
A: -6.10 eV/atom

Q: The highest total DFT energy (no corrections) belongs to which entry?
A: Li2Al2Zn2CuPt